No. 1
! Tb2Zn16Ru (GGA-PBE, relaxed); values from VASP
! DOS at the Fermi energy = 0.3986 states/eV/atom
! calculated formation energy = -4.24 eV/f.u.
! magnetic moment = 0.000 μB per cell
&SYSTEM
  ibrav = 0, nat = 19, ntyp = 3
/
ATOMIC_SPECIES
Zn 65.41 Zn.upf
Tb 158.93 Tb.upf
Ru 101.07 Ru.upf
CELL_PARAMETERS angstrom
-6.190 -2.762 -0.218
-0.652 -1.107 6.659
-3.478 5.640 1.444
ATOMIC_POSITIONS crystal
Zn 0.103 0.103 0.103
Zn 0.710 0.997 0.286
Tb 0.676 0.676 0.676
Zn 0.648 0.648 0.150
Zn 0.150 0.648 0.648
Zn 0.648 0.150 0.648
Zn 0.995 0.506 0.995
Zn 0.837 0.357 0.357
Zn 0.286 0.997 0.710
Ru 0.902 0.902 0.902
Zn 0.357 0.837 0.357
Zn 0.997 0.286 0.710
Zn 0.995 0.995 0.506
Zn 0.286 0.710 0.997
Zn 0.506 0.995 0.995
Zn 0.710 0.286 0.997
Tb 0.340 0.340 0.340
Zn 0.997 0.710 0.286
Zn 0.357 0.357 0.837

=====

No. 2
! Tb5Zn4Ru (GGA-PBE, relaxed); values from VASP
! DOS at the Fermi energy = 0.8873 states/eV/atom
! calculated formation energy = -3.54 eV/f.u.
! magnetic moment = 0.000 μB per cell
&SYSTEM
  ibrav = 0, nat = 10, ntyp = 3
/
ATOMIC_SPECIES
Zn 65.41 Zn.upf
Tb 158.93 Tb.upf
Ru 101.07 Ru.upf
CELL_PARAMETERS angstrom
-0.533 -3.032 -1.723
3.299 -1.002 0.743
-5.764 -7.657 15.257
ATOMIC_POSITIONS crystal
Zn 0.000 0.000 0.601
Zn 0.000 0.000 0.802
Zn 0.000 0.000 0.198
Tb 0.500 0.500 0.298
Tb 0.500 0.500 0.091
Tb 0.500 0.500 0.702
Tb 0.500 0.500 0.909
Ru 0.000 0.000 0.000
Zn 0.000 0.000 0.399
Tb 0.500 0.500 0.500

=====

No. 3
! Tb6Zn5Ru (GGA-PBE, relaxed); values from VASP
! DOS at the Fermi energy = 0.5763 states/eV/atom
! calculated formation energy = -4.49 eV/f.u.
! magnetic moment = 0.000 μB per cell
&SYSTEM
  ibrav = 0, nat = 12, ntyp = 3
/
ATOMIC_SPECIES
Tb 158.93 Tb.upf
Zn 65.41 Zn.upf
Ru 101.07 Ru.upf
CELL_PARAMETERS angstrom
4.764 -0.028 1.591
0.038 7.134 0.013
0.012 -0.014 7.925
ATOMIC_POSITIONS crystal
Tb 0.500 0.239 0.000
Tb 0.839 0.755 0.321
Zn 0.669 0.500 0.663
Tb 0.161 0.755 0.679
Ru 0.000 0.000 0.000
Zn 0.326 0.000 0.347
Tb 0.161 0.245 0.679
Zn 0.000 0.500 0.000
Zn 0.331 0.500 0.337
Zn 0.674 0.000 0.653
Tb 0.839 0.245 0.321
Tb 0.500 0.761 0.000

=====

No. 4
! Tb5ZnRu4 (GGA-PBE, relaxed); values from VASP
! DOS at the Fermi energy = 0.6208 states/eV/atom
! calculated formation energy = -3.38 eV/f.u.
! magnetic moment = 0.000 μB per cell
&SYSTEM
  ibrav = 0, nat = 10, ntyp = 3
/
ATOMIC_SPECIES
Tb 158.93 Tb.upf
Ru 101.07 Ru.upf
Zn 65.41 Zn.upf
CELL_PARAMETERS angstrom
-0.336 -2.397 2.430
3.395 0.022 0.492
-1.834 12.514 12.089
ATOMIC_POSITIONS crystal
Tb 0.500 0.500 0.888
Ru 0.000 0.000 0.402
Ru 0.000 0.000 0.598
Tb 0.500 0.500 0.112
Tb 0.500 0.500 0.500
Tb 0.500 0.500 0.694
Tb 0.500 0.500 0.306
Ru 0.000 0.000 0.204
Ru 0.000 0.000 0.796
Zn 0.000 0.000 0.000

=====

No. 5
! TbZn9Ru2 (GGA-PBE, relaxed); values from VASP
! DOS at the Fermi energy = 0.4375 states/eV/atom
! calculated formation energy = -1.13 eV/f.u.
! magnetic moment = 0.000 μB per cell
&SYSTEM
  ibrav = 0, nat = 12, ntyp = 3
/
ATOMIC_SPECIES
Zn 65.41 Zn.upf
Tb 158.93 Tb.upf
Ru 101.07 Ru.upf
CELL_PARAMETERS angstrom
4.858 0.000 1.446
2.214 4.324 1.446
0.063 0.039 8.671
ATOMIC_POSITIONS crystal
Zn 0.919 0.406 0.269
Zn 0.406 0.406 0.269
Zn 0.334 0.334 0.999
Zn 0.594 0.594 0.731
Zn 0.500 0.500 0.500
Tb 0.000 0.000 0.000
Ru 0.143 0.143 0.571
Zn 0.406 0.919 0.269
Zn 0.666 0.666 0.001
Zn 0.594 0.081 0.731
Zn 0.081 0.594 0.731
Ru 0.857 0.857 0.429

=====

No. 6
! Tb3Zn3Ru2 (GGA-PBE, relaxed); values from VASP
! DOS at the Fermi energy = 0.6906 states/eV/atom
! calculated formation energy = -2.62 eV/f.u.
! magnetic moment = 0.000 μB per cell
&SYSTEM
  ibrav = 0, nat = 16, ntyp = 3
/
ATOMIC_SPECIES
Zn 65.41 Zn.upf
Ru 101.07 Ru.upf
Tb 158.93 Tb.upf
CELL_PARAMETERS angstrom
-0.879 3.774 0.412
-4.156 -3.163 1.681
6.299 -0.195 15.212
ATOMIC_POSITIONS crystal
Zn 0.374 0.749 0.250
Ru 0.771 0.542 0.621
Tb 0.062 0.124 0.606
Ru 0.229 0.458 0.121
Tb 0.062 0.124 0.894
Zn 0.626 0.251 0.750
Zn 0.657 0.314 0.028
Zn 0.343 0.686 0.972
Tb 0.938 0.876 0.106
Tb 0.338 0.675 0.750
Tb 0.662 0.325 0.250
Tb 0.938 0.876 0.394
Zn 0.657 0.314 0.472
Ru 0.771 0.542 0.879
Ru 0.229 0.458 0.379
Zn 0.343 0.686 0.528

=====

The lowest DOS at the Fermi energy belongs to which entry? Tb2Zn16Ru